Entry 1:
First-principles (meta-GGA SCAN) data for a crystal of TaReGe3 relaxed with PBEsol, as listed in the Alexandria database.

```
data_TaReGe3
_symmetry_space_group_name_H-M 'P m -3 m'
_symmetry_Int_Tables_number 221
_symmetry_space_group_name_Hall '-P 4 2 3'
_cell_length_a 4.909
_cell_length_b 4.909
_cell_length_c 4.909
_cell_angle_alpha 90.00
_cell_angle_beta 90.00
_cell_angle_gamma 90.00
loop_
_atom_site_label
_atom_site_type_symbol
_atom_site_fract_x
_atom_site_fract_y
_atom_site_fract_z
Ta1 Ta 0.000 0.000 0.000
Re1 Re 0.500 0.500 0.500
Ge1 Ge 0.000 0.000 0.500
```

Calculated density in Mg/m³: 8.214
Fermi-level density of states in states/eV per atom: 0.693



Entry 2:
First-principles (meta-GGA SCAN) data for a crystal of Ta2AgW relaxed with PBEsol, as listed in the Alexandria database.

```
data_Ta2AgW
_symmetry_space_group_name_H-M 'C m m 2'
_symmetry_Int_Tables_number 35
_symmetry_space_group_name_Hall 'C 2 -2'
_cell_length_a 3.284
_cell_length_b 4.431
_cell_length_c 9.236
_cell_angle_alpha 90.00
_cell_angle_beta 90.00
_cell_angle_gamma 90.00
loop_
_atom_site_label
_atom_site_type_symbol
_atom_site_fract_x
_atom_site_fract_y
_atom_site_fract_z
Ta1 Ta 0.000 0.000 0.000
Ta2 Ta 0.000 0.500 0.253
Ag1 Ag 0.000 0.000 0.508
W1 W 0.000 0.500 0.757
```

Energy relative to the lowest polymorph listed for this composition in eV/atom: 0.000
Calculated density in Mg/m³: 16.153
Fermi-level density of states in states/eV per atom: 0.547



Entry 3:
First-principles (meta-GGA SCAN) data for a crystal of TcIr2Ru relaxed with PBEsol, as listed in the Alexandria database.

```
data_TcIr2Ru
_symmetry_space_group_name_H-M 'I -4 m 2'
_symmetry_Int_Tables_number 119
_symmetry_space_group_name_Hall 'I -4 -2'
_cell_length_a 3.821
_cell_length_b 3.821
_cell_length_c 7.564
_cell_angle_alpha 90.00
_cell_angle_beta 90.00
_cell_angle_gamma 90.00
loop_
_atom_site_label
_atom_site_type_symbol
_atom_site_fract_x
_atom_site_fract_y
_atom_site_fract_z
Tc1 Tc 0.000 0.000 0.000
Ir1 Ir 0.000 0.000 0.500
Ir2 Ir 0.000 0.500 0.750
Ru1 Ru 0.000 0.500 0.250
```

Energy relative to the lowest polymorph listed for this composition in eV/atom: 0.028
Calculated density in Mg/m³: 17.546
Fermi-level density of states in states/eV per atom: 0.881



Entry 4:
First-principles (meta-GGA SCAN) data for a crystal of CdCo2Ir relaxed with PBEsol, as listed in the Alexandria database.

```
data_CdCo2Ir
_symmetry_space_group_name_H-M 'I m m m'
_symmetry_Int_Tables_number 71
_symmetry_space_group_name_Hall '-I 2 2'
_cell_length_a 2.874
_cell_length_b 4.462
_cell_length_c 8.615
_cell_angle_alpha 90.00
_cell_angle_beta 90.00
_cell_angle_gamma 90.00
loop_
_atom_site_label
_atom_site_type_symbol
_atom_site_fract_x
_atom_site_fract_y
_atom_site_fract_z
Cd1 Cd 0.000 0.000 0.000
Co1 Co 0.000 0.500 0.239
Ir1 Ir 0.000 0.000 0.500
```

Calculated density in Mg/m³: 12.700
Fermi-level density of states in states/eV per atom: 0.751



Entry 5:
First-principles (meta-GGA SCAN) data for a crystal of Ba2LaPt relaxed with PBEsol, as listed in the Alexandria database.

```
data_Ba2LaPt
_symmetry_space_group_name_H-M 'A m m 2'
_symmetry_Int_Tables_number 38
_symmetry_space_group_name_Hall 'A 2 -2'
_cell_length_a 4.014
_cell_length_b 4.250
_cell_length_c 19.029
_cell_angle_alpha 90.00
_cell_angle_beta 90.00
_cell_angle_gamma 90.00
loop_
_atom_site_label
_atom_site_type_symbol
_atom_site_fract_x
_atom_site_fract_y
_atom_site_fract_z
Ba1 Ba 0.000 0.000 0.000
Ba2 Ba 0.500 0.000 0.316
La1 La 0.000 0.000 0.663
Pt1 Pt 0.500 0.000 0.146
```

Energy relative to the lowest polymorph listed for this composition in eV/atom: 0.008
Calculated density in Mg/m³: 6.226
Fermi-level density of states in states/eV per atom: 0.897



Entry 6:
First-principles (meta-GGA SCAN) data for a crystal of KCrMo2 relaxed with PBEsol, as listed in the Alexandria database.

```
data_KCrMo2
_symmetry_space_group_name_H-M 'C m m m'
_symmetry_Int_Tables_number 65
_symmetry_space_group_name_Hall '-C 2 2'
_cell_length_a 5.296
_cell_length_b 10.097
_cell_length_c 2.545
_cell_angle_alpha 90.00
_cell_angle_beta 90.00
_cell_angle_gamma 90.00
loop_
_atom_site_label
_atom_site_type_symbol
_atom_site_fract_x
_atom_site_fract_y
_atom_site_fract_z
K1 K 0.000 0.000 0.000
Cr1 Cr 0.000 0.500 0.000
Mo1 Mo 0.250 0.250 0.500
```

Energy relative to the lowest polymorph listed for this composition in eV/atom: 0.605
Calculated density in Mg/m³: 6.905
Fermi-level density of states in states/eV per atom: 0.677



Entry 7:
First-principles (meta-GGA SCAN) data for a crystal of SrMgMo2 relaxed with PBEsol, as listed in the Alexandria database.

```
data_SrMgMo2
_symmetry_space_group_name_H-M 'C 1 m 1'
_symmetry_Int_Tables_number 8
_symmetry_space_group_name_Hall 'C -2y'
_cell_length_a 8.417
_cell_length_b 3.067
_cell_length_c 7.133
_cell_angle_alpha 90.00
_cell_angle_beta 95.44
_cell_angle_gamma 90.00
loop_
_atom_site_label
_atom_site_type_symbol
_atom_site_fract_x
_atom_site_fract_y
_atom_site_fract_z
Sr1 Sr 0.000 0.000 0.000
Mg1 Mg 0.268 0.500 0.355
Mo1 Mo 0.008 0.500 0.572
Mo2 Mo 0.237 0.000 0.696
```

Calculated density in Mg/m³: 5.504
Fermi-level density of states in states/eV per atom: 0.842



Entry 8:
First-principles (meta-GGA SCAN) data for a crystal of Zr2TlRh relaxed with PBEsol, as listed in the Alexandria database.

```
data_Zr2TlRh
_symmetry_space_group_name_H-M 'P 4/m m m'
_symmetry_Int_Tables_number 123
_symmetry_space_group_name_Hall '-P 4 2'
_cell_length_a 3.080
_cell_length_b 3.080
_cell_length_c 8.183
_cell_angle_alpha 90.00
_cell_angle_beta 90.00
_cell_angle_gamma 90.00
loop_
_atom_site_label
_atom_site_type_symbol
_atom_site_fract_x
_atom_site_fract_y
_atom_site_fract_z
Zr1 Zr 0.000 0.000 0.217
Tl1 Tl 0.500 0.500 0.500
Rh1 Rh 0.500 0.500 0.000
```

Calculated density in Mg/m³: 10.478
Fermi-level density of states in states/eV per atom: 0.857



Number 1: raw total energy -2.7474 Ry per atom. Number 2: raw total energy -4.2890 Ry per atom. Number 3: raw total energy -3.9074 Ry per atom. Number 4: raw total energy -2.4818 Ry per atom. Number 5: raw total energy -3.5795 Ry per atom. Number 6: raw total energy -1.6680 Ry per atom. Number 7: raw total energy -1.7340 Ry per atom. Number 8: raw total energy -3.1172 Ry per atom.